# Ca2PdRuO6

A relaxed Ca2PdRuO6 crystal (GGA-PBE, the Alexandria database).

extended XYZ file:
```
10
Lattice="-0.539 -2.527 -3.577 -2.563 -3.775 3.053 -4.809 2.451 -1.007" Properties=species:S:1:pos:R:3 pbc="T T T"
Ca -1.298 -1.962 1.421
Ca -2.420 1.151 -0.609
Pd -4.023 -2.245 -1.217
Ru -0.321 -1.505 -2.130
O -2.135 -2.107 -2.051
O -4.657 -0.822 -2.579
O -3.767 -1.044 0.483
O -0.096 -0.451 -0.638
O -6.001 -2.802 -0.978
O -3.479 -4.087 -0.450
```

* final energy: -63.214 eV for the cell shown
* formation energy from raw total energies: -1499.3 meV per atom
* crystal system: tetragonal
* V: 133.0 Å³ per cell
* size of the total moment: 1.19 μB per formula unit

# Ga8Pd2Au

A relaxed Ga8Pd2Au crystal (GGA-PBE, the Alexandria database).

extended XYZ file:
```
11
Lattice="-0.280 2.617 -4.010 -5.022 -1.367 -0.518 0.592 5.360 6.270" Properties=species:S:1:pos:R:3 pbc="T T T"
Au -4.061 3.866 4.865
Pd -2.933 2.404 -1.877
Pd -1.027 3.954 1.847
Ga -1.494 6.586 2.146
Ga -4.827 3.942 -0.766
Ga -1.655 1.764 0.455
Ga -0.180 2.392 -2.082
Ga -4.143 1.070 0.229
Ga -2.283 4.584 -0.497
Ga -1.885 5.129 4.092
Ga -3.774 3.969 2.047
```

* final energy: -40.948 eV for the cell shown
* energy relative to the elements: -0.279 eV/atom
* crystal system: triclinic
* V: 187.9 Å³ per cell
* size of the total moment: 0.00 μB per formula unit

# Cs3KAu

A relaxed Cs3KAu crystal (GGA-PBE, the Alexandria database).

extended XYZ file:
```
10
Lattice="-16.197 17.350 18.845 -11.116 4.397 6.554 9.727 -8.813 -3.681" Properties=species:S:1:pos:R:3 pbc="T T T"
Cs -10.863 6.082 9.267
Cs -6.723 6.851 12.451
Cs -13.272 11.808 16.905
Cs -4.313 1.126 4.812
Cs -11.738 9.068 13.435
Cs -5.848 3.865 8.283
K -19.077 15.874 20.351
K 1.491 -2.941 1.367
Au -7.797 2.501 5.243
Au -9.788 10.433 16.475
```

* final energy: -15.103 eV for the cell shown
* energy relative to the elements: -0.123 eV/atom
* crystal system: monoclinic
* polymorph energy (0 for the lowest one): 15 meV/atom
* V: 762.9 Å³ per cell
* size of the total moment: 0.00 μB per formula unit

# Be2PH

A relaxed Be2PH crystal (GGA-PBE, the Alexandria database).

extended XYZ file:
```
8
Lattice="3.902 0.000 0.000 0.000 3.935 0.000 -1.773 0.000 5.398" Properties=species:S:1:pos:R:3 pbc="T T T"
Be 1.491 1.832 2.087
Be 0.639 3.799 3.310
Be 2.929 0.835 0.817
Be -0.800 2.802 4.581
P 1.176 1.830 4.247
P 0.953 3.798 1.150
H 2.907 1.889 1.815
H -0.777 3.857 3.582
```

* final energy: -33.863 eV for the cell shown
* crystal system: monoclinic
* polymorph energy (0 for the lowest one): 6 meV/atom
* V: 82.9 Å³ per cell
* size of the total moment: 0.00 μB per formula unit

# Cs3NaCl4

A relaxed Cs3NaCl4 crystal (GGA-PBE, the Alexandria database).

extended XYZ file:
```
8
Lattice="-1.682 4.403 -1.104 -7.530 -3.175 -1.192 0.712 2.257 7.912" Properties=species:S:1:pos:R:3 pbc="T T T"
Cs 0.356 1.128 3.956
Cs -4.250 1.743 2.808
Cs -3.765 -1.587 -0.596
Na -0.841 2.202 -0.552
Cl -1.571 -0.212 1.548
Cl -6.559 0.220 0.256
Cl -5.246 -0.707 5.171
Cl -1.940 3.265 5.359
```

* final energy: -26.179 eV for the cell shown
* formation energy from raw total energies: -1864.1 meV per atom
* crystal system: orthorhombic
* V: 312.6 Å³ per cell
* size of the total moment: 0.10 μB per formula unit

# UCuSiO6

A relaxed UCuSiO6 crystal (GGA-PBE, the Alexandria database).

extended XYZ file:
```
18
Lattice="5.159 0.000 0.000 -2.579 4.468 0.000 0.000 0.000 8.772" Properties=species:S:1:pos:R:3 pbc="T T T"
U 0.000 2.978 2.193
U 2.579 1.489 6.579
Cu 0.000 0.000 0.000
Cu 0.000 0.000 4.386
Si 2.579 1.489 2.193
Si 0.000 2.978 6.579
O 1.831 2.800 1.189
O 4.089 1.482 1.189
O -0.761 4.282 5.575
O -1.509 2.986 7.583
O 1.070 1.482 3.197
O 3.328 2.800 3.197
O 0.761 4.282 7.583
O 3.340 0.186 3.197
O -0.748 1.668 5.575
O 1.818 0.186 1.189
O 1.509 2.986 5.575
O 0.748 1.668 7.583
```

* final energy: -139.497 eV for the cell shown
* formation energy from raw total energies: -2132.5 meV per atom
* crystal system: trigonal
* V: 202.2 Å³ per cell
* size of the total moment: 1.02 μB per formula unit

# Ba2MgGaRh

A relaxed Ba2MgGaRh crystal (GGA-PBE, the Alexandria database).

extended XYZ file:
```
5
Lattice="6.080 0.000 0.000 0.000 6.080 0.000 0.000 0.000 4.885" Properties=species:S:1:pos:R:3 pbc="T T T"
Mg 3.040 3.040 2.443
Rh 0.000 0.000 0.000
Ba 0.000 3.040 0.000
Ba 3.040 0.000 0.000
Ga 0.000 0.000 2.443
```

* final energy: -16.786 eV for the cell shown
* energy relative to the elements: -0.193 eV/atom
* crystal system: tetragonal
* V: 180.6 Å³ per cell
* size of the total moment: 0.00 μB per formula unit

# SmTa4Os5

A relaxed SmTa4Os5 crystal (GGA-PBE, the Alexandria database).

extended XYZ file:
```
10
Lattice="3.149 0.000 0.000 0.000 3.149 0.000 0.000 0.000 17.410" Properties=species:S:1:pos:R:3 pbc="T T T"
Sm 0.000 0.000 0.000
Ta 0.000 0.000 3.695
Ta 0.000 0.000 7.050
Ta 0.000 0.000 10.360
Ta 0.000 0.000 13.715
Os 1.575 1.575 2.280
Os 1.575 1.575 5.446
Os 1.575 1.575 8.705
Os 1.575 1.575 11.964
Os 1.575 1.575 15.130
```

* final energy: -110.900 eV for the cell shown
* energy relative to the elements: -0.262 eV/atom
* crystal system: tetragonal
* V: 172.7 Å³ per cell
* size of the total moment: 0.00 μB per formula unit

# LuZrPt4

A relaxed LuZrPt4 crystal (GGA-PBE, the Alexandria database).

extended XYZ file:
```
6
Lattice="5.358 0.000 0.000 2.679 4.640 0.000 2.679 1.547 4.375" Properties=species:S:1:pos:R:3 pbc="T T T"
Lu 0.000 0.000 0.000
Zr 2.679 1.547 1.094
Pt 5.358 3.094 0.547
Pt 5.358 1.547 2.734
Pt 6.698 3.867 2.734
Pt 4.018 3.867 2.734
```

* final energy: -42.928 eV for the cell shown
* energy relative to the elements: -0.949 eV/atom
* crystal system: cubic
* V: 108.8 Å³ per cell
* size of the total moment: 0.00 μB per formula unit

# LiNdBi2

A relaxed LiNdBi2 crystal (GGA-PBE, the Alexandria database).

extended XYZ file:
```
4
Lattice="4.401 0.000 0.000 0.000 5.074 0.000 0.000 0.000 5.074" Properties=species:S:1:pos:R:3 pbc="T T T"
Nd 2.201 2.537 2.537
Bi 0.000 0.000 2.537
Bi 0.000 2.537 0.000
Li 2.201 0.000 0.000
```

* final energy: -16.753 eV for the cell shown
* energy relative to the elements: -0.577 eV/atom
* crystal system: tetragonal
* polymorph energy (0 for the lowest one): 106 meV/atom
* V: 113.3 Å³ per cell
* size of the total moment: 0.00 μB per formula unit

# Y2TlOs

A relaxed Y2TlOs crystal (GGA-PBE, the Alexandria database).

extended XYZ file:
```
4
Lattice="6.759 -0.003 0.009 5.893 3.309 0.009 1.721 0.450 4.488" Properties=species:S:1:pos:R:3 pbc="T T T"
Os 7.238 1.891 2.234
Tl 11.428 2.986 3.113
Y 12.559 3.282 0.056
Y 2.986 0.780 1.374
```

* final energy: -26.813 eV for the cell shown
* energy relative to the elements: -0.072 eV/atom
* crystal system: orthorhombic
* polymorph energy (0 for the lowest one): 234 meV/atom
* V: 100.4 Å³ per cell
* size of the total moment: 0.00 μB per formula unit

# BC2

A relaxed BC2 crystal (GGA-PBE, the Alexandria database).

extended XYZ file:
```
12
Lattice="-3.509 -0.747 -2.619 -1.455 -1.657 -3.856 1.100 -5.326 5.746" Properties=species:S:1:pos:R:3 pbc="T T T"
B -2.063 -3.205 -1.068
B -0.708 -1.782 0.136
B -3.754 -7.457 -0.748
B -2.399 -6.034 0.456
C -2.961 -3.497 -2.344
C -1.443 -1.578 -1.235
C -4.119 -2.336 -5.122
C -1.501 -5.742 1.732
C -0.918 -4.330 1.661
C -0.065 -4.085 2.898
C 0.567 -2.751 2.966
C -3.544 -4.910 -2.273
```

* final energy: -97.210 eV for the cell shown
* energy relative to the elements: 0.274 eV/atom
* crystal system: monoclinic
* polymorph energy (0 for the lowest one): 34 meV/atom
* V: 77.3 Å³ per cell
* size of the total moment: 0.00 μB per formula unit

# Gd2LuIn

A relaxed Gd2LuIn crystal (GGA-PBE, the Alexandria database).

extended XYZ file:
```
4
Lattice="4.117 0.000 0.000 0.000 4.117 0.000 0.000 0.000 6.908" Properties=species:S:1:pos:R:3 pbc="T T T"
Gd 0.000 0.000 5.244
Gd 0.000 0.000 1.665
Lu 2.059 2.059 3.454
In 2.059 2.059 0.000
```

* final energy: -36.209 eV for the cell shown
* energy relative to the elements: -0.197 eV/atom
* crystal system: tetragonal
* polymorph energy (0 for the lowest one): 87 meV/atom
* V: 117.1 Å³ per cell
* size of the total moment: 15.13 μB per formula unit

# Mg2TiRu

A relaxed Mg2TiRu crystal (GGA-PBE, the Alexandria database).

extended XYZ file:
```
4
Lattice="0.000 3.220 3.220 3.220 0.000 3.220 3.220 3.220 0.000" Properties=species:S:1:pos:R:3 pbc="T T T"
Ru 3.220 3.220 3.220
Mg 1.610 1.610 1.610
Mg 4.829 4.829 4.829
Ti 0.000 0.000 0.000
```

* final energy: -19.650 eV for the cell shown
* energy relative to the elements: 0.178 eV/atom
* crystal system: cubic
* polymorph energy (0 for the lowest one): 0 meV/atom
* V: 66.7 Å³ per cell
* size of the total moment: 0.00 μB per formula unit

# Hf2Np3ScP6

A relaxed Hf2Np3ScP6 crystal (GGA-PBE, the Alexandria database).

extended XYZ file:
```
12
Lattice="-2.152 -4.757 -4.100 4.780 4.163 -1.973 3.450 -3.700 4.275" Properties=species:S:1:pos:R:3 pbc="T T T"
Hf 2.471 1.192 -2.681
Hf 0.157 -1.786 -3.391
Np 5.359 0.838 -0.187
Np 0.719 -5.132 -1.611
Np 3.039 -2.147 -0.899
Sc 0.000 0.000 0.000
P 3.450 -4.766 -1.670
P 2.764 -1.311 -3.506
P 2.628 0.472 -0.128
P 5.774 -1.775 -0.956
P 3.314 -2.983 1.708
P 0.304 -2.519 -0.841
```

* final energy: -111.294 eV for the cell shown
* energy relative to the elements: -1.148 eV/atom
* crystal system: monoclinic
* V: 238.4 Å³ per cell
* size of the total moment: 11.10 μB per formula unit

# Cs3Sc5Cl12

A relaxed Cs3Sc5Cl12 crystal (GGA-PBE, the Alexandria database).

extended XYZ file:
```
80
Lattice="14.948 0.000 0.000 -4.983 14.094 0.000 -4.983 -7.047 12.205" Properties=species:S:1:pos:R:3 pbc="T T T"
Cs 8.720 4.404 1.526
Cs 8.720 9.689 1.526
Cs -1.246 6.166 7.628
Cs 1.246 -0.881 4.577
Cs 11.211 0.000 3.051
Cs 1.246 7.047 3.051
Cs 3.737 0.000 9.154
Cs -6.229 7.047 9.154
Cs 3.737 7.928 7.628
Cs 6.229 0.881 4.577
Cs -3.737 -2.643 10.680
Cs -3.737 2.643 10.680
Sc -1.246 3.523 3.051
Sc -2.491 7.047 0.000
Sc 0.000 0.000 0.000
Sc 3.737 2.643 1.526
Sc 4.983 -3.523 6.103
Sc 4.983 7.047 0.000
Sc -3.737 7.928 4.577
Sc 6.229 -4.404 10.680
Sc 6.229 6.166 4.577
Sc 1.246 -3.523 9.154
Sc 3.737 10.570 3.051
Sc 2.491 3.523 6.103
Sc 7.474 0.000 0.000
Sc -2.491 -3.523 6.103
Sc -1.246 0.881 7.628
Sc -1.246 11.451 1.526
Sc -4.983 3.523 6.103
Sc 8.720 -0.881 7.628
Sc 1.246 4.404 10.680
Sc 6.229 3.523 9.154
Cl 9.694 1.414 0.048
Cl 0.272 4.272 4.902
Cl 11.333 3.377 3.858
Cl 6.107 1.871 1.249
Cl 1.898 4.847 8.299
Cl 11.011 7.165 2.196
Cl -1.367 8.553 5.107
Cl -3.616 12.223 1.249
Cl 0.594 9.247 8.299
Cl 6.429 6.928 2.196
Cl 7.746 4.189 4.854
Cl 7.746 12.679 0.048
Cl -4.389 6.087 6.151
Cl 3.537 5.085 0.996
Cl -5.255 9.905 4.854
Cl 2.763 -2.775 7.303
Cl -0.594 1.240 2.245
Cl 3.537 8.890 1.201
Cl 6.107 10.716 3.858
Cl -1.046 5.204 1.201
Cl -3.085 8.287 9.961
Cl 3.859 5.540 5.107
Cl 6.881 8.006 6.151
Cl 6.028 -1.961 11.210
Cl 1.124 1.506 7.098
Cl -1.898 -0.959 6.055
Cl -1.046 9.008 0.996
Cl -1.124 -3.670 8.347
Cl 8.068 -1.240 2.245
Cl 6.028 1.843 11.005
Cl 1.446 -1.843 11.005
Cl 2.220 9.821 4.902
Cl 5.576 5.806 9.961
Cl 10.238 -2.858 7.352
Cl 9.372 0.959 6.055
Cl -2.763 -5.632 12.157
Cl 1.446 1.961 11.210
Cl 4.389 -2.200 3.906
Cl -1.446 0.118 10.009
Cl -2.763 2.858 7.352
Cl 8.598 -5.176 10.957
Cl 6.350 -1.506 7.098
Cl -1.124 5.176 10.957
Cl -6.028 -0.118 10.009
Cl 3.085 2.200 3.906
Cl -6.350 3.670 8.347
Cl 4.711 2.775 7.303
Cl -4.711 5.632 12.157
```

* final energy: -359.242 eV for the cell shown
* formation energy from raw total energies: -1671.6 meV per atom
* crystal system: cubic
* V: 2571.4 Å³ per cell
* size of the total moment: 6.02 μB per formula unit

# Th2Al2Ag3

A relaxed Th2Al2Ag3 crystal (GGA-PBE, the Alexandria database).

extended XYZ file:
```
7
Lattice="4.211 0.000 0.000 0.000 4.138 0.000 0.000 -2.069 9.567" Properties=species:S:1:pos:R:3 pbc="T T T"
Th 0.000 2.069 6.448
Th 0.000 0.000 3.119
Al 2.106 2.069 4.047
Al 2.106 0.000 5.520
Ag 2.106 2.069 1.359
Ag 2.106 0.000 8.208
Ag 0.000 0.000 0.000
```

* final energy: -31.561 eV for the cell shown
* energy relative to the elements: -0.098 eV/atom
* crystal system: orthorhombic
* V: 166.7 Å³ per cell
* size of the total moment: 0.00 μB per formula unit

# Ta2PbW

A relaxed Ta2PbW crystal (GGA-PBE, the Alexandria database).

extended XYZ file:
```
4
Lattice="4.364 0.000 0.000 0.000 2.996 0.007 0.000 2.329 5.914" Properties=species:S:1:pos:R:3 pbc="T T T"
Pb 2.182 3.994 4.441
Ta 0.000 0.244 0.176
Ta 0.000 2.419 2.785
W 2.182 1.331 1.480
```

* final energy: -38.701 eV for the cell shown
* energy relative to the elements: 0.416 eV/atom
* crystal system: monoclinic
* V: 77.3 Å³ per cell
* size of the total moment: 0.00 μB per formula unit

# Gd2YP

A relaxed Gd2YP crystal (GGA-PBE, the Alexandria database).

extended XYZ file:
```
4
Lattice="-1.191 -3.316 -1.518 2.348 -3.033 -0.066 -2.864 -4.816 7.919" Properties=species:S:1:pos:R:3 pbc="T T T"
Y -0.853 -5.582 3.168
P 0.000 0.000 0.000
Gd -0.192 -2.596 0.972
Gd -1.515 -8.568 5.363
```

* final energy: -42.758 eV for the cell shown
* energy relative to the elements: -0.681 eV/atom
* crystal system: trigonal
* V: 120.4 Å³ per cell
* size of the total moment: 15.79 μB per formula unit

# GaPHPtS

A relaxed GaPHPtS crystal (GGA-PBE, the Alexandria database).

extended XYZ file:
```
5
Lattice="-1.096 -3.814 -0.963 3.020 -1.990 -2.010 3.023 -3.112 4.362" Properties=species:S:1:pos:R:3 pbc="T T T"
Ga 1.804 -3.934 1.491
P 4.085 -4.495 1.226
H 2.615 -4.827 -2.163
Pt 3.917 -6.824 1.703
S 0.350 -4.018 -0.338
```

* final energy: -22.659 eV for the cell shown
* crystal system: triclinic
* polymorph energy (0 for the lowest one): 187 meV/atom
* V: 93.0 Å³ per cell
* size of the total moment: 0.00 μB per formula unit

# SrTcN2

A relaxed SrTcN2 crystal (GGA-PBE, the Alexandria database).

extended XYZ file:
```
4
Lattice="-4.436 -4.704 2.056 -1.761 -6.448 1.160 -1.886 -5.023 4.153" Properties=species:S:1:pos:R:3 pbc="T T T"
Sr 0.000 0.000 0.000
Tc -4.041 -8.088 3.684
N -7.097 -14.202 6.470
N -0.986 -1.973 0.899
```

* final energy: -26.903 eV for the cell shown
* formation energy from raw total energies: 448.9 meV per atom
* crystal system: trigonal
* polymorph energy (0 for the lowest one): 931 meV/atom
* V: 62.0 Å³ per cell
* size of the total moment: 0.70 μB per formula unit